This record from Alexandria describes an optimized crystal structure of HoMgZrRe. The functional is GGA-PBE.

POSCAR file:
```
HoMgZrRe
1.0
4.8861 0.0000 0.0000
2.4431 4.2315 0.0000
2.4431 1.4105 3.9895
Ho Re Zr Mg
1 1 1 1
Direct
0.2500 0.2500 0.2500
0.5000 0.5000 0.5000
0.7500 0.7500 0.7500
0.0000 0.0000 0.0000
```

Calculated values
Total moment, μB per formula unit: 0.0
Uncorrected energy, eV/atom: -6.787

This record from Alexandria describes an optimized crystal structure of CaB2Os. The functional is GGA-PBE.

POSCAR file:
```
CaB2Os
1.0
0.0000 2.8971 2.8971
2.8971 0.0000 2.8971
2.8971 2.8971 0.0000
B Os Ca
2 1 1
Direct
0.2500 0.2500 0.2500
0.7500 0.7500 0.7500
0.5000 0.5000 0.5000
0.0000 0.0000 0.0000
```

Calculated values
Offset from the most stable computed form, meV per atom: 883
Total moment, μB per formula unit: 0.0

This record from Alexandria describes an optimized crystal structure of Tl2TePd2. The functional is GGA-PBE.

POSCAR file:
```
Tl2TePd2
1.0
7.2472 0.0000 -1.4796
0.0000 7.6051 0.0000
-2.7067 0.0000 9.5326
Te Tl Pd
4 8 8
Direct
0.6720 0.6524 0.6566
0.1720 0.8476 0.6566
0.8280 0.1524 0.3434
0.3280 0.3476 0.3434
0.8187 0.6309 0.3122
0.1813 0.3691 0.6878
0.2040 0.1434 0.0041
0.3187 0.8691 0.3122
0.7960 0.8566 0.9959
0.6813 0.1309 0.6878
0.2960 0.6434 0.9959
0.7040 0.3566 0.0041
0.5494 0.9239 0.1495
0.2577 0.6068 0.4962
0.7423 0.3932 0.5038
0.7577 0.8932 0.4962
0.9506 0.4239 0.8505
0.0494 0.5761 0.1495
0.2423 0.1068 0.5038
0.4506 0.0761 0.8505
```

Calculated values
Offset from the most stable computed form, meV per atom: 0
Total moment, μB per formula unit: 0.0

This record from Alexandria describes an optimized crystal structure of DyY3Ho6Er2. The functional is GGA-PBE.

POSCAR file:
```
DyY3Ho6Er2
1.0
-0.4231 -4.8589 -3.6940
2.0278 -0.6888 5.7313
-11.3450 0.0384 2.9331
Er Y Ho Dy
2 3 6 1
Direct
0.6667 0.3333 0.0000
0.3333 0.6667 0.0000
0.1668 0.8332 0.5000
0.5000 0.5000 0.5000
0.8332 0.1668 0.5000
0.5835 0.9169 0.7518
0.0831 0.4165 0.2482
0.7496 0.7496 0.2482
0.4165 0.0831 0.2482
0.9169 0.5835 0.7518
0.2504 0.2504 0.7518
0.0000 0.0000 0.0000
```

Calculated values
Total moment, μB per formula unit: 0.0
Uncorrected energy, eV/atom: -5.027

This record from Alexandria describes an optimized crystal structure of Ca2ScMn2. The functional is GGA-PBE.

POSCAR file:
```
Ca2ScMn2
1.0
4.3305 0.0000 0.0000
0.0000 4.3305 0.0000
2.1652 2.1652 6.5285
Ca Sc Mn
2 1 2
Direct
0.7500 0.2500 0.5000
0.2500 0.7500 0.5000
0.0000 0.0000 0.0000
0.4158 0.4158 0.1683
0.5842 0.5842 0.8317
```

Calculated values
Offset from the most stable computed form, meV per atom: 217
Total moment, μB per formula unit: 5.6

This record from Alexandria describes an optimized crystal structure of Cr3MoBr. The functional is GGA-PBE.

POSCAR file:
```
Cr3MoBr
1.0
4.8419 0.0000 0.0000
0.0000 4.8419 0.0000
0.0000 0.0000 4.8419
Mo Br Cr
1 1 3
Direct
0.0000 0.0000 0.0000
0.5000 0.5000 0.5000
0.0000 0.0000 0.5000
0.0000 0.5000 0.0000
0.5000 0.0000 0.0000
```

Calculated values
Offset from the most stable computed form, meV per atom: 0
Total moment, μB per formula unit: 10.3

This record from Alexandria describes an optimized crystal structure of NaY2PaO6. The functional is GGA-PBE.

POSCAR file:
```
NaY2PaO6
1.0
-0.7807 5.8391 0.3066
-0.7810 2.6006 5.2370
4.5556 3.4691 2.2790
Y O Pa Na
2 6 1 1
Direct
0.0183 0.0183 0.9452
0.5257 0.5257 0.4228
0.9263 0.6061 0.2306
0.1567 0.3778 0.7649
0.2370 0.9263 0.2306
0.7006 0.1567 0.7649
0.6061 0.2370 0.2306
0.3778 0.7006 0.7649
0.3152 0.3152 0.0543
0.7979 0.7979 0.6063
```

Calculated values
Total moment, μB per formula unit: 0.0
Uncorrected energy, eV/atom: -8.619

This record from Alexandria describes an optimized crystal structure of Pm6Bi2C. The functional is GGA-PBE.

POSCAR file:
```
Pm6Bi2C
1.0
3.9972 0.0000 0.0000
0.0000 8.6041 0.0000
0.0000 -4.3021 7.4511
C Bi Pm
1 2 6
Direct
0.5000 0.0002 0.0000
0.0000 0.6664 0.3332
0.0000 0.3333 0.6668
0.5000 0.4045 0.4046
0.5000 0.9999 0.5954
0.0000 0.7783 0.7782
0.5000 0.5958 0.0000
0.0000 0.2217 0.0000
0.0000 0.0001 0.2218
```

Calculated values
Offset from the most stable computed form, meV per atom: 109
Total moment, μB per formula unit: 2.2

This record from Alexandria describes an optimized crystal structure of LiPm4Al3. The functional is GGA-PBE.

POSCAR file:
```
LiPm4Al3
1.0
5.0354 0.0000 1.4864
2.2983 4.4803 1.4864
0.0457 0.0279 9.1174
Pm Al Li
4 3 1
Direct
0.8739 0.8739 0.3782
0.1261 0.1261 0.6218
0.3767 0.3767 0.8698
0.6233 0.6233 0.1302
0.5000 0.5000 0.5000
0.2532 0.2532 0.2405
0.7468 0.7468 0.7595
0.0000 0.0000 0.0000
```

Calculated values
Total moment, μB per formula unit: 0.0
Uncorrected energy, eV/atom: -4.307

This record from Alexandria describes an optimized crystal structure of Pu2ZnGa. The functional is GGA-PBE.

POSCAR file:
```
Pu2ZnGa
1.0
-0.6686 1.5934 2.0363
-1.6101 -0.9035 1.9297
8.5030 -3.5173 7.2956
Pu Ga Zn
2 1 1
Direct
0.0896 0.0896 0.7311
0.9104 0.9104 0.2689
0.5000 0.5000 0.5000
0.0000 0.0000 0.0000
```

Calculated values
Total moment, μB per formula unit: 3.6
Uncorrected energy, eV/atom: -7.920

This record from Alexandria describes an optimized crystal structure of SiTe2Cl. The functional is GGA-PBE.

POSCAR file:
```
SiTe2Cl
1.0
5.8987 -0.0058 0.0021
4.7391 3.5122 0.0021
1.2271 0.4045 5.2806
Cl Te Si
1 2 1
Direct
0.2500 0.2500 0.2500
0.0675 0.0675 0.9035
0.4325 0.4325 0.5965
0.7500 0.7500 0.7500
```

Calculated values
Offset from the most stable computed form, meV per atom: 214
Total moment, μB per formula unit: 0.0

This record from Alexandria describes an optimized crystal structure of Sr6PdRh2I3. The functional is GGA-PBE.

POSCAR file:
```
Sr6PdRh2I3
1.0
7.6709 -0.0040 -0.0010
-3.8371 6.6422 -0.0010
-1.2795 -2.2155 8.1783
I Sr Pd Rh
3 6 1 2
Direct
0.8354 0.1646 0.5000
0.5000 0.5000 0.5000
0.1646 0.8354 0.5000
0.2788 0.2788 0.8031
0.7212 0.7212 0.1969
0.4105 0.0659 0.1977
0.0659 0.4105 0.1977
0.5895 0.9341 0.8023
0.9341 0.5895 0.8023
0.0000 0.0000 0.0000
0.3331 0.6669 0.0000
0.6669 0.3331 0.0000
```

Calculated values
Total moment, μB per formula unit: 0.0
Uncorrected energy, eV/atom: -3.712

Question: Which value of total moment does entry 5 give?
Answer: 5.6 μB per formula unit

Copy entry 8 word for word.
This record from Alexandria describes an optimized crystal structure of Pm6Bi2C. The functional is GGA-PBE.

POSCAR file:
```
Pm6Bi2C
1.0
3.9972 0.0000 0.0000
0.0000 8.6041 0.0000
0.0000 -4.3021 7.4511
C Bi Pm
1 2 6
Direct
0.5000 0.0002 0.0000
0.0000 0.6664 0.3332
0.0000 0.3333 0.6668
0.5000 0.4045 0.4046
0.5000 0.9999 0.5954
0.0000 0.7783 0.7782
0.5000 0.5958 0.0000
0.0000 0.2217 0.0000
0.0000 0.0001 0.2218
```

Calculated values
Offset from the most stable computed form, meV per atom: 109
Total moment, μB per formula unit: 2.2

Question: total moment of number 6 (Cr3MoBr)?
Answer: 10.3 μB per formula unit

Question: Number 9 is which compound?
Answer: LiPm4Al3